The following is a PBE calculation of a relaxed La2Dy3Th crystal, from Alexandria.

extended XYZ file:
```
12
Lattice="6.657 0.250 1.023 -1.859 8.838 1.490 -0.449 -0.250 6.721" Properties=species:S:1:pos:R:3 pbc="T T T"
Dy 3.154 2.209 4.886
Dy 3.456 4.552 2.535
Dy 1.196 6.628 4.348
Dy 0.894 4.286 6.699
Dy 5.415 0.133 3.074
Dy -1.066 8.704 6.160
Th -0.880 6.628 1.759
Th 5.230 2.209 7.476
La 4.396 5.579 6.029
La -0.047 3.259 3.205
La 2.140 7.678 7.838
La 2.209 1.160 1.397
```

Summary:
The calculation puts the formation energy at 106 meV per atom. For the spin magnetization, the calculation gives 0.00 μB/f.u. The crystal system is monoclinic. The value obtained for the density of states at the Fermi level is 18.7 states/eV per cell.

=====

The following is a PBE calculation of a relaxed Sr2LiHPd crystal, from Alexandria.

extended XYZ file:
```
5
Lattice="5.589 0.000 0.000 0.000 5.589 0.000 0.000 0.000 3.798" Properties=species:S:1:pos:R:3 pbc="T T T"
Sr 2.795 0.000 0.000
Sr 0.000 2.795 0.000
Pd 0.000 0.000 1.899
H 0.000 0.000 0.000
Li 2.795 2.795 1.899
```

Summary:
For the spin magnetization, the calculation gives 0.00 μB/f.u. The calculation puts the total energy at -3.05 eV/atom. The crystal system is tetragonal. The value obtained for the density of states at the Fermi level is 3.5 states/eV per cell.

=====

The following is a PBE calculation of a relaxed Li3SmEr2Se6 crystal, from Alexandria.

extended XYZ file:
```
12
Lattice="-1.164 -2.413 -6.535 6.512 -0.190 2.727 -2.959 -5.058 3.666" Properties=species:S:1:pos:R:3 pbc="T T T"
Se -0.694 -2.320 -1.619
Se -0.838 -4.438 1.760
Se 3.084 -5.341 1.478
Se 3.227 -3.222 -1.901
Se 1.920 -1.563 1.535
Se 0.469 -6.098 -1.677
Li 1.195 -3.830 -0.071
Li 3.746 -3.092 3.008
Li -1.357 -4.569 -3.150
Er 1.395 -1.672 -3.447
Er 3.953 -0.931 -0.360
Sm 0.000 0.000 0.000
```

Summary:
For the spin magnetization, the calculation gives 0.00 μB/f.u. For the uncorrected formation energy, the calculation gives -1689 meV/atom. The crystal system is monoclinic. The value obtained for the density of states at the Fermi level is 0.0 states/eV per cell.

=====

The following is a PBE calculation of a relaxed V2NCl crystal, from Alexandria.

extended XYZ file:
```
4
Lattice="0.000 2.790 2.790 2.790 0.000 2.790 2.790 2.790 0.000" Properties=species:S:1:pos:R:3 pbc="T T T"
N 0.000 0.000 0.000
V 4.185 4.185 4.185
V 1.395 1.395 1.395
Cl 2.790 2.790 2.790
```

Summary:
For the spin magnetization, the calculation gives 1.97 μB/f.u. For the uncorrected formation energy, the calculation gives 228 meV/atom. The crystal system is cubic. The value obtained for the density of states at the Fermi level is 2.3 states/eV per cell.

=====

The following is a PBE calculation of a relaxed Ga3FeTc crystal, from Alexandria.

extended XYZ file:
```
5
Lattice="-4.021 -1.386 1.412 1.683 -4.078 0.790 1.041 1.239 4.180" Properties=species:S:1:pos:R:3 pbc="T T T"
Tc -0.649 -2.113 3.191
Ga 0.520 0.619 2.090
Ga -2.011 -0.693 0.706
Ga 0.842 -2.039 0.395
Fe 0.000 0.000 0.000
```

Summary:
The calculation puts the formation energy at 630 meV per atom. For the spin magnetization, the calculation gives 4.05 μB/f.u. The crystal system is cubic. The value obtained for the density of states at the Fermi level is 3.1 states/eV per cell.

=====

The following is a PBE calculation of a relaxed ScPPbS2 crystal, from Alexandria.

extended XYZ file:
```
5
Lattice="5.098 0.000 0.000 0.000 5.098 0.000 0.000 0.000 5.082" Properties=species:S:1:pos:R:3 pbc="T T T"
S 2.549 0.000 0.000
S 0.000 2.549 0.000
Pb 0.000 0.000 0.000
P 0.000 0.000 2.541
Sc 2.549 2.549 2.541
```

Summary:
For the spin magnetization, the calculation gives 0.00 μB/f.u. For the uncorrected formation energy, the calculation gives 436 meV/atom. The crystal system is tetragonal. The value obtained for the density of states at the Fermi level is 3.5 states/eV per cell.

=====

The following is a PBE calculation of a relaxed Pr5CdHg3 crystal, from Alexandria.

extended XYZ file:
```
18
Lattice="6.872 0.000 0.000 0.000 9.528 0.000 0.000 -4.764 8.253" Properties=species:S:1:pos:R:3 pbc="T T T"
Pr 5.154 8.109 2.457
Pr 5.154 2.838 0.000
Pr 5.154 3.345 5.796
Pr 0.000 0.000 5.501
Pr 3.436 0.000 5.501
Pr 3.436 4.764 2.752
Pr 1.718 1.419 2.457
Pr 1.718 6.690 0.000
Pr 0.000 4.764 2.752
Pr 1.718 -3.345 5.796
Hg 1.718 3.020 5.231
Hg 1.718 7.784 3.021
Hg 5.154 1.744 3.021
Hg 5.154 6.040 0.000
Hg 1.718 3.488 0.000
Hg 5.154 -3.020 5.231
Cd 3.436 0.000 0.000
Cd 0.000 0.000 0.000
```

Summary:
The calculation puts the formation energy at -333 meV per atom. For the spin magnetization, the calculation gives 0.00 μB/f.u. The crystal system is hexagonal. The value obtained for the density of states at the Fermi level is 22.5 states/eV per cell.

=====

The following is a PBE calculation of a relaxed Na3SnOs crystal, from Alexandria.

extended XYZ file:
```
5
Lattice="-3.221 -1.732 -4.033 4.118 -2.923 -2.034 -1.518 -4.254 3.040" Properties=species:S:1:pos:R:3 pbc="T T T"
Na 2.059 -1.462 -1.017
Na -0.759 -2.127 1.520
Na -1.611 -0.866 -2.016
Sn -0.311 -4.455 -1.513
Os 0.000 0.000 0.000
```

Summary:
The calculation puts the formation energy at 1303 meV per atom. For the spin magnetization, the calculation gives 2.00 μB/f.u. The crystal system is cubic. The value obtained for the density of states at the Fermi level is 6.2 states/eV per cell.

=====

Which value of spin magnetization does entry 5 give?
4.05 μB/f.u.

=====

Look up the spin magnetization of the second one.
0.00 μB/f.u.

=====

What is the spin magnetization in the third record?
0.00 μB/f.u.